ZrAs2BrCl GGA-PBEsol optimized geometry; final energy = -4.67 eV per atom; space group = No. 123; crystal system = tetragonal
1.0
-2.120 4.298 -1.784
0.502 -1.765 -4.849
-4.691 -2.185 0.310
Cl Br Zr As
1 1 1 2
direct
0.500 0.500 0.500 Cl
0.500 0.000 0.000 Br
0.000 0.000 0.000 Zr
0.000 0.500 0.000 As
0.000 0.000 0.500 As